A geometry-optimized ZnAgRu2 structure, computed with PBE. Values from VASP.

Results
The calculation puts the total magnetization at 0.00 μB/cell. The space group is C2/m. The value obtained for the calculated volume is 14.904 Å³/atom. As for the formation energy: 0.32 eV/atom.

Structure (Quantum ESPRESSO input):
```
&SYSTEM
  ibrav = 0, nat = 4, ntyp = 3
/
ATOMIC_SPECIES
Zn 65.41 Zn.upf
Ag 107.87 Ag.upf
Ru 101.07 Ru.upf
ATOMIC_POSITIONS angstrom
Zn 0.000 0.000 0.000
Ag 4.214 0.000 2.270
Ru 1.673 0.000 3.498
Ru 6.755 0.000 1.042
CELL_PARAMETERS angstrom
4.736 -1.386 0.000
4.736 1.386 0.000
-1.045 0.000 4.540
```